First-principles (PBE+U) data for RbWSe2O8 after structural relaxation, as listed in the Alexandria database.

a = 6.008 Å, b = 6.008 Å, c = 8.235 Å
α = 96.50°, β = 96.50°, γ = 54.21°
Each line ends with the local moment (μB).
Sites, in units of the cell vectors:
Rb (0.000, 0.000, 0.500)  0.00
W (0.000, 0.000, 0.000)  -0.04
Se (0.648, 0.648, 0.185)  0.05
Se (0.352, 0.352, 0.815)  0.05
O (0.710, 0.226, 0.825)  0.06
O (0.834, 0.834, 0.035)  0.24
O (0.707, 0.707, 0.380)  0.03
O (0.293, 0.293, 0.620)  0.03
O (0.166, 0.166, 0.965)  0.24
O (0.226, 0.710, 0.825)  0.06
O (0.774, 0.290, 0.175)  0.06
O (0.290, 0.774, 0.175)  0.06

Symmetry ... C2/m
ρ ... 3.85 g/cm³
E_tot ... -5.741 eV/atom